1.
VASP calculation (PBE) on crystalline PuGaRe at its relaxed geometry.

a b c (Å): 5.2875 5.7281 7.3862
angles (deg): 90.00 90.00 90.00
With the nearest neighbours (Å) after each atom.
Space group Imma (No. 74)
Asymmetric unit:
Pu 0.0000 0.2500 0.1170  6 Re 3.02-3.30, 6 Ga 3.13-3.17, 4 Pu 3.29-3.35
Ga 0.0000 0.0000 0.5000  4 Re 2.68, 2 Ga 2.86
Re 0.2500 0.2500 0.7500  2 Re 2.64, 4 Ga 2.68

Properties
Energy of formation from the pure elements, meV/atom: -146



2.
VASP calculation (PBE) on crystalline RbZr6BCl15 at its relaxed geometry.

a b c (Å): 19.0831 14.3267 10.0746
angles (deg): 90.00 90.00 90.00
With the nearest neighbours (Å) after each atom.
Space group Pmma (No. 51)
Asymmetric unit:
Rb 0.2500 0.2482 0.1777  10 Cl 3.51-3.61
Zr 0.0307 0.1164 0.8448  1 B 2.36, 4 Cl 2.55-2.58
Zr 0.1140 0.0000 0.0831  1 B 2.33, 4 Cl 2.55-2.57
Zr 0.1625 0.3834 0.6712  1 B 2.36, 4 Cl 2.55-2.58
Zr 0.2500 0.5000 0.4395  1 B 2.33, 4 Cl 2.57
Zr 0.2500 0.5000 0.9012  1 B 2.33, 4 Cl 2.55
B 0.0000 0.0000 0.0000  6 Zr 2.33-2.36
B 0.2500 0.5000 0.6704  6 Zr 2.33-2.36
Cl 0.0000 0.2507 0.0000  2 Zr 2.55
Cl 0.0613 0.5000 0.6703  2 Zr 2.55
Cl 0.0653 0.2498 0.6724  2 Zr 2.67
Cl 0.0667 0.0000 0.6654  2 Zr 2.55
Cl 0.0930 0.1266 0.2588  2 Zr 2.57-2.58
Cl 0.1548 0.3744 0.4160  2 Zr 2.57-2.58
Cl 0.1558 0.3750 0.9257  2 Zr 2.55-2.57
Cl 0.1582 0.1244 0.9232  2 Zr 2.55-2.56
Cl 0.2500 0.0000 0.1793  2 Zr 2.77
Cl 0.2500 0.2489 0.6644  2 Zr 2.55
Cl 0.2500 0.5000 0.1711  2 Zr 2.70-2.72

Properties
Raw formation energy, eV/atom: -1.783



3.
VASP calculation (PBE) on crystalline UInF5 at its relaxed geometry.

a b c (Å): 5.4684 5.5758 16.1282
angles (deg): 90.00 90.48 90.00
With the nearest neighbours (Å) after each atom.
Space group C2/c (No. 15)
Asymmetric unit:
U 0.0000 0.0000 0.0000  8 F 2.29-2.33
In 0.0000 0.4366 0.2500  1 F 2.27
F 0.0000 0.0295 0.2500  1 In 2.27
F 0.2456 0.2572 0.4235  2 U 2.29-2.33, 1 F 2.47
F 0.2485 0.2577 0.0765  2 U 2.30-2.32, 1 F 2.47

Properties
Raw formation energy, eV/atom: -2.953



4.
VASP calculation (PBE) on crystalline ZrCoAsSe2 at its relaxed geometry.

a b c (Å): 4.6947 4.6947 4.4610
angles (deg): 90.00 90.00 90.00
With the nearest neighbours (Å) after each atom.
Space group P4/mmm (No. 123)
Asymmetric unit:
Zr 0.0000 0.0000 0.0000  8 Se 3.24, 4 As 3.32
Co 0.5000 0.5000 0.5000  2 As 2.23, 4 Se 2.35
As 0.5000 0.5000 0.0000  2 Co 2.23
Se 0.0000 0.5000 0.5000  2 Co 2.35

Properties
Raw formation energy, eV/atom: 0.017



5.
VASP calculation (PBE) on crystalline B2SbS2 at its relaxed geometry.

a b c (Å): 7.9881 7.9881 3.0013
angles (deg): 90.00 90.00 90.00
With the nearest neighbours (Å) after each atom.
Space group P4/mbm (No. 127)
Asymmetric unit:
B 0.2284 0.2716 0.0000  2 S 1.82
Sb 0.0000 0.0000 0.5000  2 Sb 3.00, 4 S 3.10, 8 B 3.21
S 0.1373 0.3627 0.5000  2 B 1.82

Properties
Raw formation energy, eV/atom: 0.850



6.
VASP calculation (PBE) on crystalline TmTcGe at its relaxed geometry.

a b c (Å): 3.9919 3.9919 7.1970
angles (deg): 90.00 90.00 90.00
With the nearest neighbours (Å) after each atom.
Space group P4/nmm (No. 129, origin choice 2)
Asymmetric unit:
Tm 0.2500 0.2500 0.1599  5 Ge 2.92-3.07, 4 Tc 3.16
Tc 0.2500 0.7500 0.5000  4 Ge 2.61, 4 Tc 2.82
Ge 0.2500 0.2500 0.7338  4 Tc 2.61

Properties
Energy of formation from the pure elements, meV/atom: -513



7.
VASP calculation (PBE) on crystalline CeSiC at its relaxed geometry.

a b c (Å): 7.4260 3.9143 7.0883
angles (deg): 90.00 90.00 90.00
With the nearest neighbours (Å) after each atom.
Space group Pnma (No. 62)
Asymmetric unit:
Ce 0.1548 0.2500 0.1579  3 C 2.42-2.58
Si 0.0503 0.2500 0.5726  1 C 1.81
C 0.0722 0.2500 0.8273  1 Si 1.81

Properties
Raw formation energy, eV/atom: -0.278



8.
VASP calculation (PBE) on crystalline Cs2Cd2PbO4 at its relaxed geometry.

a b c (Å): 15.4069 3.8162 7.0010
angles (deg): 90.00 104.39 90.00
With the nearest neighbours (Å) after each atom.
Space group C2/m (No. 12)
Asymmetric unit:
Cs 0.1271 0.0000 0.0362  5 O 3.16-3.37
Cd 0.1715 0.5000 0.5030  4 O 2.20-2.37
Pb 0.0000 0.0000 0.5000  4 O 2.55
O 0.0387 0.5000 0.2938  1 Cd 2.20
O 0.2141 0.0000 0.6697  3 Cd 2.25-2.37

Properties
Raw formation energy, eV/atom: -1.008